Entry from the Alexandria database: K3Mn2TlF9 after structural relaxation (PBE+U).

The value obtained for the spin magnetization is 9.0 μB/cell. The mass density comes out at 3843 kg/m³. The value obtained for the calculated total energy is -5.0530 eV per atom.

The structure belongs to space group P-3m1 (No. 164); the cell edges are 6.0840, 6.0840 and 8.1217 Å and the angles 90.00°, 90.00° and 120.00°. The distinct sites, in fractional coordinates, are K at (0.0000, 0.0000, 0.0000), K at (0.3333, 0.6667, 0.7102), Mn at (0.3333, 0.6667, 0.1498), Tl at (0.0000, 0.0000, 0.5000), F at (0.0000, 0.5000, 0.0000) and F at (0.1738, 0.3476, 0.2893).